Sc4GeAs2P: optimized geometry, PBE-GGA.

**Fermi-level density of states**: 2.93 states/eV/f.u.
**Formation energy**: -1.191 eV/atom

```
data_Sc4GeAs2P
_chemical_formula_sum 'Sc4 Ge1 As2 P1'
_cell_length_a 6.641
_cell_length_b 3.818
_cell_length_c 6.761
_cell_angle_alpha 90.00
_cell_angle_beta 109.03
_cell_angle_gamma 90.00
_space_group_name_H-M_alt 'P 1 2/m 1'
_space_group_IT_number 10
loop_
_space_group_symop_operation_xyz
'x,y,z'
'-x,-y,-z'
'-x,y,-z'
'x,-y,z'
loop_
_atom_site_label
_atom_site_fract_x
_atom_site_fract_y
_atom_site_fract_z
Sc1 0.244 0.000 0.242
Sc2 0.250 0.500 0.758
Ge1 0.000 0.000 0.500
As1 0.500 0.000 0.000
As2 0.500 0.500 0.500
P1 0.000 0.500 0.000
```

Ac3B2Pd9: optimized geometry, PBE-GGA.

**Fermi-level density of states**: 4.27 states/eV/f.u.
**Formation energy**: -0.625 eV/atom

```
data_Ac3B2Pd9
_chemical_formula_sum 'Ac6 B4 Pd18'
_cell_length_a 6.5234
_cell_length_b 6.5234
_cell_length_c 14.3495
_cell_angle_alpha 90.00
_cell_angle_beta 90.00
_cell_angle_gamma 120.00
_space_group_name_H-M_alt 'P 63/m m c'
_space_group_IT_number 194
_space_group_name_Hall '-P 6c 2c'
loop_
_atom_site_label
_atom_site_fract_x
_atom_site_fract_y
_atom_site_fract_z
Ac1 0.0000 0.0000 0.2500
Ac2 0.3333 0.6667 0.0863
B1 0.3333 0.6667 0.6407
Pd1 0.0447 0.5223 0.7500
Pd2 0.1580 0.3159 0.5808
```

GaB2As: optimized geometry, PBE-GGA.

**Fermi-level density of states**: 0.69 states/eV/f.u.
**Formation energy**: 0.222 eV/atom

```
data_GaB2As
_chemical_formula_sum 'Ga4 B8 As4'
_cell_length_a 11.614
_cell_length_b 2.854
_cell_length_c 8.188
_cell_angle_alpha 90.00
_cell_angle_beta 125.08
_cell_angle_gamma 90.00
_space_group_name_H-M_alt 'C 1 m 1'
_space_group_IT_number 8
loop_
_space_group_symop_operation_xyz
'x,y,z'
'x,-y,z'
'x+1/2,y+1/2,z'
'x+1/2,-y+1/2,z'
loop_
_atom_site_label
_atom_site_fract_x
_atom_site_fract_y
_atom_site_fract_z
Ga1 0.000 0.000 0.000
Ga2 0.004 0.500 0.727
B1 0.030 0.500 0.306
B2 0.122 0.000 0.330
B3 0.209 0.500 0.481
B4 0.300 0.000 0.451
As1 0.233 0.500 0.757
As2 0.324 0.000 0.212
```

TbB2S6: optimized geometry, PBE-GGA.

**Fermi-level density of states**: 2.89 states/eV/f.u.
**Raw formation energy**: -0.56 eV per atom

```
data_TbB2S6
_chemical_formula_sum 'Tb4 B8 S24'
_cell_length_a 13.605
_cell_length_b 9.338
_cell_length_c 6.146
_cell_angle_alpha 90.00
_cell_angle_beta 96.72
_cell_angle_gamma 90.00
_space_group_name_H-M_alt 'C 1 2/c 1'
_space_group_IT_number 15
loop_
_space_group_symop_operation_xyz
'x,y,z'
'-x,-y,-z'
'-x,y,-z+1/2'
'x,-y,z+1/2'
'x+1/2,y+1/2,z'
'-x+1/2,-y+1/2,-z'
'-x+1/2,y+1/2,-z+1/2'
'x+1/2,-y+1/2,z+1/2'
loop_
_atom_site_label
_atom_site_fract_x
_atom_site_fract_y
_atom_site_fract_z
Tb1 0.000 0.142 0.250
B1 0.236 0.077 0.652
S1 0.100 0.100 0.654
S2 0.192 0.265 0.214
S3 0.209 0.434 0.645
```

Respective total magnetization values: 0.0; 0.0; 0.0; 0.0 μB per cell.